1.
CdSiClF6: relaxed, GGA-PBE.

Calculated values
The calculation puts the total energy at -4.44 eV/atom. Its space group is C2, No. 5.

Unit cell a=5.495 b=5.495 c=6.330 alpha=84.81 beta=95.19 gamma=62.77
Last column: magnetic moment on the atom in μB.
Element x y z (fractional)
Cd 0.682 0.682 0.500  0.00
Si 0.335 0.335 0.500  0.00
Cl 0.957 0.957 0.000  0.69
F 0.043 0.377 0.344  0.00
F 0.377 0.043 0.656  0.00
F 0.618 0.324 0.656  0.04
F 0.120 0.544 0.661  0.00
F 0.324 0.618 0.344  0.04
F 0.544 0.120 0.339  0.00

---

2.
BaCaAg3: relaxed, GGA-PBE.

Calculated values
The calculation puts the total energy at -1.94 eV/atom. Its space group is Pm-3m, No. 221. As for the density of states at the Fermi level: 0.446 states/eV per atom.

Unit cell a=5.906 b=5.906 c=5.906 alpha=90.00 beta=90.00 gamma=90.00
Element x y z (fractional)
Ca 0.500 0.500 0.500
Ba 0.000 0.000 0.000
Ag 0.000 0.500 0.000
Ag 0.000 0.000 0.500
Ag 0.500 0.000 0.000

---

3.
La3Pr9Dy2: relaxed, GGA-PBE.

Calculated values
The calculation puts the total energy at -4.53 eV/atom. Its space group is C2/m, No. 12. As for the density of states at the Fermi level: 1.397 states/eV per atom.

Unit cell a=5.536 b=13.240 c=13.240 alpha=47.50 beta=51.20 gamma=51.20
Element x y z (fractional)
La 0.000 0.000 0.000
La 0.990 0.170 0.170
La 0.010 0.830 0.830
Pr 0.000 0.500 0.500
Pr 0.366 0.104 0.651
Pr 0.634 0.896 0.349
Pr 0.366 0.651 0.104
Pr 0.634 0.349 0.896
Pr 0.919 0.845 0.544
Pr 0.081 0.155 0.456
Pr 0.919 0.544 0.845
Pr 0.081 0.456 0.155
Dy 0.500 0.245 0.755
Dy 0.500 0.755 0.245

---

4.
Mg2BeGa2Rh5: relaxed, GGA-PBE.

Calculated values
The calculation puts the total energy at -5.45 eV/atom. Its space group is P4/mbm, No. 127. As for the density of states at the Fermi level: 0.593 states/eV per atom.

Unit cell a=3.073 b=9.836 c=9.836 alpha=90.00 beta=90.00 gamma=90.00
Element x y z (fractional)
Mg 0.000 0.668 0.168
Mg 0.000 0.332 0.832
Mg 0.000 0.168 0.332
Mg 0.000 0.832 0.668
Be 0.000 0.000 0.000
Be 0.000 0.500 0.500
Ga 0.000 0.137 0.637
Ga 0.000 0.863 0.363
Ga 0.000 0.637 0.863
Ga 0.000 0.363 0.137
Rh 0.500 0.184 0.063
Rh 0.500 0.816 0.937
Rh 0.500 0.063 0.816
Rh 0.500 0.684 0.437
Rh 0.500 0.937 0.184
Rh 0.500 0.316 0.563
Rh 0.500 0.563 0.684
Rh 0.500 0.437 0.316
Rh 0.500 0.500 0.000
Rh 0.500 0.000 0.500

---

Please write out number 1 again, unchanged.
CdSiClF6: relaxed, GGA-PBE.

Calculated values
The calculation puts the total energy at -4.44 eV/atom. Its space group is C2, No. 5.

Unit cell a=5.495 b=5.495 c=6.330 alpha=84.81 beta=95.19 gamma=62.77
Last column: magnetic moment on the atom in μB.
Element x y z (fractional)
Cd 0.682 0.682 0.500  0.00
Si 0.335 0.335 0.500  0.00
Cl 0.957 0.957 0.000  0.69
F 0.043 0.377 0.344  0.00
F 0.377 0.043 0.656  0.00
F 0.618 0.324 0.656  0.04
F 0.120 0.544 0.661  0.00
F 0.324 0.618 0.344  0.04
F 0.544 0.120 0.339  0.00